[1]
Material: Mg3V2O8
Method: DFT, PBEsol
State: optimized geometry

Cell: 6.4700 6.4700 8.3023 Å, 90.00 90.00 124.26°
Last column: nearest neighbours and their distance in Å.
Sites, in units of the cell vectors:
Mg: 0.0000 0.0000 0.0000  6 O 2.04-2.12
Mg: 0.1140 0.3860 0.2500  6 O 2.02-2.15
Mg: 0.3860 0.1140 0.7500  6 O 2.02-2.15
Mg: 0.5000 0.5000 0.5000  6 O 2.04-2.12
Mg: 0.6140 0.8860 0.2500  6 O 2.02-2.15
Mg: 0.8860 0.6140 0.7500  6 O 2.02-2.15
V: 0.1196 0.8804 0.3803  4 O 1.70-1.79
V: 0.3804 0.6196 0.8803  4 O 1.70-1.79
V: 0.6196 0.3804 0.1197  4 O 1.70-1.79
V: 0.8804 0.1196 0.6197  4 O 1.70-1.79
O: 0.0028 0.9972 0.7542  1 V 1.79
O: 0.1113 0.3461 0.5011  1 V 1.70
O: 0.1539 0.3887 0.9989  1 V 1.70
O: 0.2480 0.7520 0.2738  1 V 1.71
O: 0.2520 0.7480 0.7738  1 V 1.71
O: 0.3461 0.1113 0.4989  1 V 1.70
O: 0.3887 0.1539 0.0011  1 V 1.70
O: 0.4972 0.5028 0.2542  1 V 1.79
O: 0.5028 0.4972 0.7458  1 V 1.79
O: 0.6113 0.8461 0.9989  1 V 1.70
O: 0.6539 0.8887 0.5011  1 V 1.70
O: 0.7480 0.2520 0.2262  1 V 1.71
O: 0.7520 0.2480 0.7262  1 V 1.71
O: 0.8461 0.6113 0.0011  1 V 1.70
O: 0.8887 0.6539 0.4989  1 V 1.70
O: 0.9972 0.0028 0.2458  1 V 1.79

**Space group**: Cmce, No. 64
**Energy relative to the lowest polymorph listed for this composition**: 0.0 meV/atom

---

[2]
Material: Mg2V3O8
Method: DFT, PBEsol
State: optimized geometry

Cell: 4.7642 5.6984 9.8174 Å, 90.00 95.61 90.00°
Last column: nearest neighbours and their distance in Å.
Sites, in units of the cell vectors:
Mg: 0.0619 0.0000 0.2327  6 O 2.05-2.20
Mg: 0.4238 0.4949 0.2682  6 O 2.03-2.20
Mg: 0.5762 0.4949 0.7318  6 O 2.03-2.20
Mg: 0.9381 0.0000 0.7673  6 O 2.05-2.20
V: 0.0000 0.2877 0.5000  4 O 1.85-1.87
V: 0.0000 0.5088 0.0000  6 O 1.88-1.98
V: 0.0000 0.7094 0.5000  4 O 1.85-1.87
V: 0.5000 0.1943 0.0000  4 O 1.78-1.87
V: 0.5000 0.7373 0.0000  6 O 1.94-1.95
V: 0.5000 0.9959 0.5000  6 O 1.85-1.97
O: 0.1954 0.7278 0.1178  2 V 1.88-1.94, 1 Mg 2.05
O: 0.1966 0.9994 0.6041  1 V 1.85
O: 0.2009 0.4986 0.6141  2 V 1.85, 1 Mg 2.03
O: 0.2110 0.2641 0.1100  2 V 1.87-1.98, 1 Mg 2.09
O: 0.2815 0.2277 0.3849  2 V 1.87-1.97, 1 Mg 2.06
O: 0.2841 0.7673 0.3864  2 V 1.87-1.94, 1 Mg 2.09
O: 0.3151 0.9875 0.8893  2 V 1.78-1.95
O: 0.3174 0.4824 0.8928  3 V 1.93-2.09, 1 Mg 2.10
O: 0.6826 0.4824 0.1072  3 V 1.93-2.09, 1 Mg 2.10
O: 0.6849 0.9875 0.1107  2 V 1.78-1.95
O: 0.7159 0.7673 0.6136  2 V 1.87-1.94, 1 Mg 2.09
O: 0.7185 0.2277 0.6151  2 V 1.87-1.97, 1 Mg 2.06
O: 0.7890 0.2641 0.8900  2 V 1.87-1.98, 1 Mg 2.09
O: 0.7991 0.4986 0.3859  2 V 1.85, 1 Mg 2.03
O: 0.8034 0.9994 0.3959  1 V 1.85
O: 0.8046 0.7278 0.8822  2 V 1.88-1.94, 1 Mg 2.05

**Space group**: P2, No. 3
**Energy relative to the lowest polymorph listed for this composition**: 3.2 meV/atom

---

[3]
Material: Mg2V2O7
Method: DFT, PBEsol
State: optimized geometry

Cell: 6.6146 8.3929 9.4814 Å, 90.00 100.89 90.00°
Last column: nearest neighbours and their distance in Å.
Sites, in units of the cell vectors:
Mg: 0.1470 0.1212 0.4635  6 O 2.06-2.09
Mg: 0.1470 0.3788 0.9635  6 O 2.06-2.09
Mg: 0.3086 0.1109 0.1813  6 O 2.02-2.16
Mg: 0.3086 0.3891 0.6813  6 O 2.02-2.16
Mg: 0.6914 0.6109 0.3187  6 O 2.02-2.16
Mg: 0.6914 0.8891 0.8187  6 O 2.02-2.16
Mg: 0.8530 0.6212 0.0365  6 O 2.06-2.09
Mg: 0.8530 0.8788 0.5365  6 O 2.06-2.09
V: 0.1939 0.0199 0.8143  4 O 1.69-1.83
V: 0.1939 0.4801 0.3143  4 O 1.69-1.83
V: 0.3600 0.7418 0.0299  3 O 1.64-1.71
V: 0.3600 0.7582 0.5299  3 O 1.64-1.71
V: 0.6400 0.2418 0.4701  3 O 1.64-1.71
V: 0.6400 0.2582 0.9701  3 O 1.64-1.71
V: 0.8061 0.5199 0.6857  4 O 1.69-1.83
V: 0.8061 0.9801 0.1857  4 O 1.69-1.83
O: 0.0298 0.0769 0.2470  1 V 1.69
O: 0.0298 0.4231 0.7470  1 V 1.69
O: 0.1484 0.6221 0.9964  1 V 1.70
O: 0.1484 0.8779 0.4964  1 V 1.70
O: 0.1738 0.1310 0.9600  1 V 1.69
O: 0.1738 0.3690 0.4600  1 V 1.69
O: 0.2520 0.1409 0.6843  1 V 1.70
O: 0.2520 0.3591 0.1843  1 V 1.70
O: 0.3251 0.6269 0.6514  1 V 1.64
O: 0.3251 0.8731 0.1514  1 V 1.64
O: 0.3909 0.6309 0.3757  2 V 1.83-1.85
O: 0.3909 0.8691 0.8757  2 V 1.83-1.85
O: 0.4295 0.1295 0.3995  1 V 1.71
O: 0.4295 0.3705 0.8995  1 V 1.71
O: 0.5705 0.6295 0.1005  1 V 1.71
O: 0.5705 0.8705 0.6005  1 V 1.71
O: 0.6091 0.1309 0.1243  2 V 1.83-1.85
O: 0.6091 0.3691 0.6243  2 V 1.83-1.85
O: 0.6749 0.1269 0.8486  1 V 1.64
O: 0.6749 0.3731 0.3486  1 V 1.64
O: 0.7480 0.6409 0.8157  1 V 1.70
O: 0.7480 0.8591 0.3157  1 V 1.70
O: 0.8262 0.6310 0.5400  1 V 1.69
O: 0.8262 0.8690 0.0400  1 V 1.69
O: 0.8516 0.1221 0.5036  1 V 1.70
O: 0.8516 0.3779 0.0036  1 V 1.70
O: 0.9702 0.5769 0.2530  1 V 1.69
O: 0.9702 0.9231 0.7530  1 V 1.69

**Space group**: P2_1/c, No. 14
**Raw total energy**: -7.958 eV/atom

---

[4]
Material: Mg3V2O8
Method: DFT, PBEsol
State: optimized geometry

Cell: 5.7372 5.7372 5.7372 Å, 63.13 63.13 63.13°
Last column: nearest neighbours and their distance in Å.
Sites, in units of the cell vectors:
Mg: 0.0000 0.5000 0.5000  6 O 2.04-2.13
Mg: 0.5000 0.0000 0.5000  6 O 2.04-2.13
Mg: 0.5000 0.5000 0.0000  6 O 2.04-2.13
V: 0.1239 0.1239 0.1239  4 O 1.70-1.80
V: 0.8761 0.8761 0.8761  4 O 1.70-1.80
O: 0.2259 0.7634 0.7634  1 V 1.70
O: 0.2366 0.2366 0.7741  1 V 1.70
O: 0.2366 0.7741 0.2366  1 V 1.70
O: 0.2555 0.2555 0.2555  1 V 1.80
O: 0.7445 0.7445 0.7445  1 V 1.80
O: 0.7634 0.2259 0.7634  1 V 1.70
O: 0.7634 0.7634 0.2259  1 V 1.70
O: 0.7741 0.2366 0.2366  1 V 1.70

**Space group**: R-3m, No. 166
**Energy relative to the lowest polymorph listed for this composition**: 16.3 meV/atom

---

[5]
Material: MgV2O5
Method: DFT, PBEsol
State: optimized geometry

Cell: 5.3381 5.3381 10.9681 Å, 90.00 90.00 139.92°
Last column: nearest neighbours and their distance in Å.
Sites, in units of the cell vectors:
Mg: 0.1091 0.8909 0.7500  4 O 2.03
Mg: 0.8909 0.1091 0.2500  4 O 2.03
V: 0.2008 0.7992 0.0977  1 O 1.63
V: 0.2008 0.7992 0.4023  1 O 1.63
V: 0.7992 0.2008 0.5977  1 O 1.63
V: 0.7992 0.2008 0.9023  1 O 1.63
O: 0.0412 0.9588 0.1265  1 V 1.63
O: 0.0412 0.9588 0.3735  1 V 1.63
O: 0.2375 0.7625 0.5768  3 V 1.94-1.95
O: 0.2375 0.7625 0.9232  3 V 1.94-1.95
O: 0.3033 0.6967 0.2500  2 V 1.96, 2 Mg 2.03
O: 0.6967 0.3033 0.7500  2 V 1.96, 2 Mg 2.03
O: 0.7625 0.2375 0.0768  3 V 1.94-1.95
O: 0.7625 0.2375 0.4232  3 V 1.94-1.95
O: 0.9588 0.0412 0.6265  1 V 1.63
O: 0.9588 0.0412 0.8735  1 V 1.63

**Space group**: Cmcm, No. 63
**Raw total energy**: -8.333 eV/atom

---

[6]
Material: Mg8V5O16
Method: DFT, PBEsol
State: optimized geometry

Cell: 5.9706 5.9706 10.0535 Å, 106.64 106.64 59.04°
Last column: nearest neighbours and their distance in Å.
Sites, in units of the cell vectors:
Mg: 0.0000 0.0000 0.0000  6 O 2.02-2.06
Mg: 0.0006 0.4961 0.9990  6 O 2.09-2.15
Mg: 0.1831 0.1831 0.5755  4 O 1.92-1.97
Mg: 0.2494 0.2494 0.2547  6 O 2.03-2.12
Mg: 0.4961 0.0006 0.9990  6 O 2.09-2.15
Mg: 0.5012 0.5012 0.0031  6 O 2.07-2.10
Mg: 0.7526 0.7526 0.7483  6 O 2.02-2.14
Mg: 0.8037 0.8037 0.4247  4 O 1.95-2.00
V: 0.2361 0.7675 0.2550  6 O 1.94-2.16
V: 0.2400 0.7472 0.7441  6 O 1.95-2.15
V: 0.4945 0.4945 0.5068  6 O 1.96-2.05
V: 0.7472 0.2400 0.7441  6 O 1.95-2.15
V: 0.7675 0.2361 0.2550  6 O 1.94-2.16
O: 0.1146 0.1146 0.8703  3 Mg 2.03-2.13, 2 V 2.06
O: 0.1199 0.1199 0.3682  2 V 1.94, 2 Mg 1.97-2.03
O: 0.1247 0.6401 0.8759  4 Mg 2.02-2.15, 1 V 2.03
O: 0.1576 0.6168 0.3756  2 Mg 1.95-2.05, 2 V 1.96-1.97
O: 0.3578 0.8780 0.1265  4 Mg 2.02-2.15, 1 V 2.04
O: 0.3768 0.3768 0.1276  4 Mg 2.07-2.12, 2 V 2.16
O: 0.3826 0.3826 0.6320  1 Mg 1.96, 3 V 1.97-1.99
O: 0.3864 0.8392 0.6304  2 Mg 1.92-2.04, 2 V 1.95-1.96
O: 0.6005 0.6005 0.3676  1 Mg 2.00, 3 V 2.00-2.05
O: 0.6168 0.1576 0.3756  2 Mg 1.95-2.05, 2 V 1.96-1.97
O: 0.6235 0.6235 0.8755  4 Mg 2.08-2.14, 2 V 2.15
O: 0.6401 0.1247 0.8759  4 Mg 2.02-2.15, 1 V 2.03
O: 0.8392 0.3864 0.6304  2 Mg 1.92-2.04, 2 V 1.95-1.96
O: 0.8780 0.3578 0.1265  4 Mg 2.02-2.15, 1 V 2.04
O: 0.8808 0.8808 0.1284  2 V 2.01, 3 Mg 2.06-2.15
O: 0.8811 0.8811 0.6346  2 V 1.96, 2 Mg 2.00-2.02

**Space group**: Cm, No. 8
**Raw total energy**: -7.535 eV/atom

---

The following mass density values (in g/cm3) correspond, in order, to the records above: 3.5 4.1 3.4 3.5 3.4 4.0.